# Tb3TmCd2

A relaxed structure of Tb3TmCd2 (GGA-PBE, the Alexandria database).

CIF file:
```
data_Tb3TmCd2
_chemical_formula_sum 'Tb3 Tm1 Cd2'
_cell_length_a 3.648
_cell_length_b 3.648
_cell_length_c 12.718
_cell_angle_alpha 90.00
_cell_angle_beta 90.00
_cell_angle_gamma 90.00
_symmetry_space_group_name_H-M 'P 4/m m m'
_symmetry_Int_Tables_number 123
_symmetry_space_group_name_Hall '-P 4 2'
loop_
_atom_site_label
_atom_site_fract_x
_atom_site_fract_y
_atom_site_fract_z
Tb1 0.000 0.000 0.000
Tb2 0.000 0.000 0.311
Tm1 0.500 0.500 0.500
Cd1 0.500 0.500 0.154
```

Computed properties:
As for the calculated total energy: -3.5549 eV per atom. For the density of states at the Fermi level, the calculation gives 8.083 states/eV/f.u. The calculated volume is 28.2 A^3/atom. Its formation enthalpy at 0 K is -1.137 eV per formula unit.